Compound: Mg3GaRu
Source: Alexandria
Functional: GGA-PBE
Structure: relaxed

Structure (POSCAR):
```
Mg3GaRu
1.0
4.9581 0.0000 0.0000
0.0000 4.9581 0.0000
0.0000 0.0000 4.9581
Mg Ga Ru
3 1 1
Cartesian
0.0000 0.0000 2.4791
0.0000 2.4791 0.0000
2.4791 0.0000 0.0000
2.4791 2.4791 2.4791
0.0000 0.0000 0.0000
```

Calculated values
SG   No. 221
Total energy   -3.040 eV/atom
ΔH_f (0 K)   0.378 eV/atom
Size of the total moment   0.000 μB/f.u.

Compound: MgGa2Ru
Source: Alexandria
Functional: GGA-PBE
Structure: relaxed

Structure (POSCAR):
```
MgGa2Ru
1.0
3.9215 0.0000 0.0000
0.0000 3.9215 0.0000
0.0000 0.0000 3.9730
Mg Ga Ru
1 2 1
Cartesian
0.0000 0.0000 0.0000
0.0000 1.9607 1.9865
1.9607 0.0000 1.9865
1.9607 1.9607 0.0000
```

Calculated values
SG   No. 123
Total energy   -4.371 eV/atom
ΔH_f (0 K)   -0.140 eV/atom
Size of the total moment   0.000 μB/f.u.

Compound: Mg2GaRu2
Source: Alexandria
Functional: GGA-PBE
Structure: relaxed

Structure (POSCAR):
```
Mg2GaRu2
1.0
9.9483 0.0000 0.0000
0.0000 2.9132 0.0000
-4.3796 0.0000 5.7016
Mg Ga Ru
4 2 4
Cartesian
0.5594 0.0000 1.3491
0.0351 1.4566 4.3525
5.5335 1.4566 1.3491
5.0093 0.0000 4.3525
-2.1898 0.0000 2.8508
2.7843 1.4566 2.8508
-2.6437 1.4566 4.8900
3.2382 0.0000 0.8116
2.3305 0.0000 4.8900
8.2124 1.4566 0.8116
```

Calculated values
SG   No. 12
Total energy   -5.071 eV/atom
ΔH_f (0 K)   -0.118 eV/atom
Size of the total moment   0.000 μB/f.u.

Compound: MgSc4GaRu2
Source: Alexandria
Functional: GGA-PBE
Structure: relaxed

Structure (POSCAR):
```
MgSc4GaRu2
1.0
2.3350 1.3481 7.7043
-2.3350 1.3481 7.7043
0.0000 -2.6962 7.7043
Mg Sc Ga Ru
1 4 1 2
Cartesian
0.0000 0.0000 0.0000
0.0000 0.0000 2.9097
0.0000 0.0000 8.7104
0.0000 0.0000 14.4025
0.0000 0.0000 20.2032
0.0000 0.0000 11.5565
0.0000 0.0000 5.7854
0.0000 0.0000 17.3275
```

Calculated values
SG   No. 166
Total energy   -6.519 eV/atom
ΔH_f (0 K)   -0.457 eV/atom
Size of the total moment   0.000 μB/f.u.

Question: total energy of number 1 (Mg3GaRu)?
Answer: -3.040 eV/atom